VASP calculation (GGA-PBE) on crystalline Ba3PrIr2O9 at its relaxed geometry.

Calculated values
uncorrected formation energy = -2042 meV per atom
total magnetic moment = 0.0000 μB per atom

CIF file:
```
data_Ba3PrIr2O9
_cell_length_a 6.0153
_cell_length_b 6.0153
_cell_length_c 15.0952
_cell_angle_alpha 90.00
_cell_angle_beta 90.00
_cell_angle_gamma 120.00
_space_group_name_H-M_alt 'P 63/m m c'
_space_group_IT_number 194
_space_group_name_Hall '-P 6c 2c'
loop_
_atom_site_label
_atom_site_fract_x
_atom_site_fract_y
_atom_site_fract_z
Ba1 0.0000 0.0000 0.2500
Ba2 0.3333 0.6667 0.1007
Pr1 0.0000 0.0000 0.0000
Ir1 0.3333 0.6667 0.6666
O1 0.0180 0.5090 0.7500
O2 0.1786 0.3572 0.5918
```


VASP calculation (GGA-PBE) on crystalline PuVGaTc at its relaxed geometry.

Calculated values
formation energy from the elements = -0.068 eV/atom
total magnetic moment = 1.3083 μB per atom

CIF file:
```
data_PuVGaTc
_cell_length_a 6.396
_cell_length_b 6.396
_cell_length_c 6.396
_cell_angle_alpha 90.00
_cell_angle_beta 90.00
_cell_angle_gamma 90.00
_space_group_name_H-M_alt 'F -4 3 m'
_space_group_IT_number 216
_space_group_name_Hall 'F -4 2 3'
loop_
_atom_site_label
_atom_site_fract_x
_atom_site_fract_y
_atom_site_fract_z
Pu1 0.000 0.000 0.000
V1 0.250 0.250 0.250
Ga1 0.000 0.000 0.500
Tc1 0.250 0.250 0.750
```


VASP calculation (GGA-PBE) on crystalline Be4Sn3PbO12 at its relaxed geometry.

Calculated values
uncorrected formation energy = -1814 meV per atom
total magnetic moment = 0.0000 μB per atom

CIF file:
```
data_Be4Sn3PbO12
_cell_length_a 10.1962
_cell_length_b 10.1962
_cell_length_c 7.6987
_cell_angle_alpha 90.00
_cell_angle_beta 90.00
_cell_angle_gamma 120.00
_space_group_name_H-M_alt 'R 3 2'
_space_group_IT_number 155
_space_group_name_Hall 'R 3 2"'
loop_
_atom_site_label
_atom_site_fract_x
_atom_site_fract_y
_atom_site_fract_z
Be1 0.0000 0.0000 0.0000
Be2 0.0000 0.4464 0.0000
Sn1 0.0000 0.5551 0.5000
Pb1 0.0000 0.0000 0.5000
O1 0.0000 0.5948 0.0000
O2 0.0000 0.8497 0.0000
O3 0.0346 0.2095 0.6739
```


VASP calculation (GGA-PBE) on crystalline NaRu at its relaxed geometry.

Calculated values
formation energy from the elements = 0.985 eV/atom
total magnetic moment = 0.0295 μB per atom

CIF file:
```
data_NaRu
_cell_length_a 10.484
_cell_length_b 10.484
_cell_length_c 3.848
_cell_angle_alpha 90.00
_cell_angle_beta 90.00
_cell_angle_gamma 90.00
_space_group_name_H-M_alt 'I 4/m m m'
_space_group_IT_number 139
_space_group_name_Hall '-I 4 2'
loop_
_atom_site_label
_atom_site_fract_x
_atom_site_fract_y
_atom_site_fract_z
Na1 0.000 0.300 0.000
Ru1 0.207 0.207 0.500
```


VASP calculation (GGA-PBE) on crystalline TaCr2Hg at its relaxed geometry.

Calculated values
formation energy from the elements = 0.477 eV/atom
total magnetic moment = 0.1182 μB per atom

CIF file:
```
data_TaCr2Hg
_cell_length_a 2.9333
_cell_length_b 2.9333
_cell_length_c 26.0289
_cell_angle_alpha 90.00
_cell_angle_beta 90.00
_cell_angle_gamma 120.00
_space_group_name_H-M_alt 'R 3 m'
_space_group_IT_number 160
_space_group_name_Hall 'R 3 -2"'
loop_
_atom_site_label
_atom_site_fract_x
_atom_site_fract_y
_atom_site_fract_z
Ta1 0.0000 0.0000 0.0000
Cr1 0.0000 0.0000 0.4764
Cr2 0.0000 0.0000 0.7482
Hg1 0.0000 0.0000 0.2341
```


VASP calculation (GGA-PBE) on crystalline HoSc3Al2 at its relaxed geometry.

Calculated values
formation energy from the elements = -0.227 eV/atom
relative energy among the computed polymorphs = 0 meV per atom
total magnetic moment = 0.0781 μB per atom

CIF file:
```
data_HoSc3Al2
_cell_length_a 14.882
_cell_length_b 4.951
_cell_length_c 8.447
_cell_angle_alpha 90.00
_cell_angle_beta 119.27
_cell_angle_gamma 90.00
_space_group_name_H-M_alt 'C 1 2/m 1'
_space_group_IT_number 12
loop_
_space_group_symop_operation_xyz
'x,y,z'
'-x,-y,-z'
'-x,y,-z'
'x,-y,z'
'x+1/2,y+1/2,z'
'-x+1/2,-y+1/2,-z'
'-x+1/2,y+1/2,-z'
'x+1/2,-y+1/2,z'
loop_
_atom_site_label
_atom_site_fract_x
_atom_site_fract_y
_atom_site_fract_z
Ho1 0.131 0.000 0.171
Sc1 0.061 0.000 0.715
Sc2 0.115 0.500 0.542
Sc3 0.192 0.500 0.989
Al1 0.019 0.500 0.166
Al2 0.233 0.000 0.599
```


VASP calculation (GGA-PBE) on crystalline Sc2Ni9Sn at its relaxed geometry.

Calculated values
formation energy from the elements = -0.325 eV/atom
relative energy among the computed polymorphs = 0 meV per atom
total magnetic moment = 0.0765 μB per atom

CIF file:
```
data_Sc2Ni9Sn
_cell_length_a 3.729
_cell_length_b 3.729
_cell_length_c 11.096
_cell_angle_alpha 90.00
_cell_angle_beta 90.00
_cell_angle_gamma 90.00
_space_group_name_H-M_alt 'P 4/m m m'
_space_group_IT_number 123
_space_group_name_Hall '-P 4 2'
loop_
_atom_site_label
_atom_site_fract_x
_atom_site_fract_y
_atom_site_fract_z
Sc1 0.000 0.000 0.165
Ni1 0.000 0.500 0.000
Ni2 0.000 0.500 0.333
Ni3 0.500 0.500 0.168
Ni4 0.500 0.500 0.500
Sn1 0.000 0.000 0.500
```


VASP calculation (GGA-PBE) on crystalline TbHo2Lu at its relaxed geometry.

Calculated values
formation energy from the elements = 0.025 eV/atom
relative energy among the computed polymorphs = 0 meV per atom
total magnetic moment = 0.0001 μB per atom

CIF file:
```
data_TbHo2Lu
_cell_length_a 4.959
_cell_length_b 4.959
_cell_length_c 4.967
_cell_angle_alpha 90.00
_cell_angle_beta 90.00
_cell_angle_gamma 90.00
_space_group_name_H-M_alt 'P 4/m m m'
_space_group_IT_number 123
_space_group_name_Hall '-P 4 2'
loop_
_atom_site_label
_atom_site_fract_x
_atom_site_fract_y
_atom_site_fract_z
Tb1 0.000 0.000 0.000
Ho1 0.000 0.500 0.500
Lu1 0.500 0.500 0.000
```


VASP calculation (GGA-PBE) on crystalline TbThCu2 at its relaxed geometry.

Calculated values
formation energy from the elements = -0.122 eV/atom
relative energy among the computed polymorphs = 45 meV per atom
total magnetic moment = 0.0007 μB per atom

CIF file:
```
data_TbThCu2
_cell_length_a 7.078
_cell_length_b 7.078
_cell_length_c 7.078
_cell_angle_alpha 90.00
_cell_angle_beta 90.00
_cell_angle_gamma 90.00
_space_group_name_H-M_alt 'F m -3 m'
_space_group_IT_number 225
_space_group_name_Hall '-F 4 2 3'
loop_
_atom_site_label
_atom_site_fract_x
_atom_site_fract_y
_atom_site_fract_z
Tb1 0.000 0.000 0.000
Th1 0.000 0.000 0.500
Cu1 0.250 0.250 0.250
```


VASP calculation (GGA-PBE) on crystalline Tm5Sn2Te2 at its relaxed geometry.

Calculated values
uncorrected formation energy = -677 meV per atom
relative energy among the computed polymorphs = 220 meV per atom
total magnetic moment = 0.0004 μB per atom

CIF file:
```
data_Tm5Sn2Te2
_cell_length_a 16.937
_cell_length_b 7.588
_cell_length_c 8.104
_cell_angle_alpha 90.00
_cell_angle_beta 90.00
_cell_angle_gamma 90.00
_space_group_name_H-M_alt 'I m a 2'
_space_group_IT_number 46
loop_
_space_group_symop_operation_xyz
'x,y,z'
'-x,-y,z'
'-x+1/2,y,z'
'x+1/2,-y,z'
'x+1/2,y+1/2,z+1/2'
'-x+1/2,-y+1/2,z+1/2'
'-x,y+1/2,z+1/2'
'x,-y+1/2,z+1/2'
loop_
_atom_site_label
_atom_site_fract_x
_atom_site_fract_y
_atom_site_fract_z
Tm1 0.059 0.220 0.000
Tm2 0.155 0.640 0.893
Tm3 0.250 0.161 0.727
Sn1 0.085 0.546 0.224
Te1 0.000 0.000 0.271
Te2 0.250 0.537 0.574
```


VASP calculation (GGA-PBE) on crystalline ScSiPt2 at its relaxed geometry.

Calculated values
uncorrected formation energy = -910 meV per atom
total magnetic moment = 0.0000 μB per atom

CIF file:
```
data_ScSiPt2
_cell_length_a 3.349
_cell_length_b 3.894
_cell_length_c 5.463
_cell_angle_alpha 90.00
_cell_angle_beta 90.00
_cell_angle_gamma 90.00
_space_group_name_H-M_alt 'P m m m'
_space_group_IT_number 47
loop_
_space_group_symop_operation_xyz
'x,y,z'
'-x,-y,-z'
'-x,-y,z'
'x,y,-z'
'x,-y,-z'
'-x,y,z'
'-x,y,-z'
'x,-y,z'
loop_
_atom_site_label
_atom_site_fract_x
_atom_site_fract_y
_atom_site_fract_z
Sc1 0.000 0.000 0.000
Si1 0.500 0.000 0.500
Pt1 0.500 0.500 0.246
```


VASP calculation (GGA-PBE) on crystalline Sr3Sb5Pt6 at its relaxed geometry.

Calculated values
uncorrected formation energy = -769 meV per atom
total magnetic moment = 0.0000 μB per atom

CIF file:
```
data_Sr3Sb5Pt6
_cell_length_a 4.503
_cell_length_b 13.789
_cell_length_c 10.439
_cell_angle_alpha 90.00
_cell_angle_beta 90.00
_cell_angle_gamma 90.00
_space_group_name_H-M_alt 'P m m n'
_space_group_IT_number 59
loop_
_space_group_symop_operation_xyz
'x,y,z'
'-x,-y,-z'
'-x+1/2,-y+1/2,z'
'x+1/2,y+1/2,-z'
'x+1/2,-y,-z'
'-x+1/2,y,z'
'-x,y+1/2,-z'
'x,-y+1/2,z'
loop_
_atom_site_label
_atom_site_fract_x
_atom_site_fract_y
_atom_site_fract_z
Sr1 0.250 0.076 0.246
Sr2 0.250 0.750 0.256
Sb1 0.250 0.072 0.616
Sb2 0.250 0.619 0.986
Sb3 0.250 0.750 0.682
Pt1 0.250 0.067 0.876
Pt2 0.250 0.250 0.482
Pt3 0.250 0.250 0.992
Pt4 0.250 0.610 0.507
```


VASP calculation (GGA-PBE) on crystalline Be3MoP at its relaxed geometry.

Calculated values
formation energy from the elements = 1.549 eV/atom
relative energy among the computed polymorphs = 621 meV per atom
total magnetic moment = 0.0000 μB per atom

CIF file:
```
data_Be3MoP
_cell_length_a 4.279
_cell_length_b 4.279
_cell_length_c 4.279
_cell_angle_alpha 90.00
_cell_angle_beta 90.00
_cell_angle_gamma 90.00
_space_group_name_H-M_alt 'P m -3 m'
_space_group_IT_number 221
_space_group_name_Hall '-P 4 2 3'
loop_
_atom_site_label
_atom_site_fract_x
_atom_site_fract_y
_atom_site_fract_z
Be1 0.000 0.000 0.500
Mo1 0.000 0.000 0.000
P1 0.500 0.500 0.500
```


VASP calculation (GGA-PBE) on crystalline ScIr2Br at its relaxed geometry.

Calculated values
uncorrected formation energy = 186 meV per atom
relative energy among the computed polymorphs = 487 meV per atom
total magnetic moment = 0.0000 μB per atom

CIF file:
```
data_ScIr2Br
_cell_length_a 3.159
_cell_length_b 4.623
_cell_length_c 9.408
_cell_angle_alpha 90.00
_cell_angle_beta 90.00
_cell_angle_gamma 90.00
_space_group_name_H-M_alt 'I m m 2'
_space_group_IT_number 44
loop_
_space_group_symop_operation_xyz
'x,y,z'
'-x,-y,z'
'-x,y,z'
'x,-y,z'
'x+1/2,y+1/2,z+1/2'
'-x+1/2,-y+1/2,z+1/2'
'-x+1/2,y+1/2,z+1/2'
'x+1/2,-y+1/2,z+1/2'
loop_
_atom_site_label
_atom_site_fract_x
_atom_site_fract_y
_atom_site_fract_z
Sc1 0.000 0.000 0.000
Ir1 0.000 0.000 0.480
Ir2 0.000 0.500 0.215
Br1 0.000 0.500 0.748
```


VASP calculation (GGA-PBE) on crystalline HgSb2RuI at its relaxed geometry.

Calculated values
uncorrected formation energy = 1498 meV per atom
relative energy among the computed polymorphs = 1168 meV per atom
total magnetic moment = 0.4409 μB per atom

CIF file:
```
data_HgSb2RuI
_cell_length_a 5.484
_cell_length_b 5.484
_cell_length_c 5.905
_cell_angle_alpha 90.00
_cell_angle_beta 90.00
_cell_angle_gamma 90.00
_space_group_name_H-M_alt 'P 4/m m m'
_space_group_IT_number 123
_space_group_name_Hall '-P 4 2'
loop_
_atom_site_label
_atom_site_fract_x
_atom_site_fract_y
_atom_site_fract_z
Hg1 0.000 0.000 0.000
Sb1 0.000 0.500 0.000
Ru1 0.500 0.500 0.500
I1 0.000 0.000 0.500
```


VASP calculation (GGA-PBE) on crystalline AgGeBO2 at its relaxed geometry.

Calculated values
uncorrected formation energy = 307 meV per atom
total magnetic moment = 0.0000 μB per atom

CIF file:
```
data_AgGeBO2
_cell_length_a 3.517
_cell_length_b 3.517
_cell_length_c 6.349
_cell_angle_alpha 90.00
_cell_angle_beta 90.00
_cell_angle_gamma 90.00
_space_group_name_H-M_alt 'P 4/m m m'
_space_group_IT_number 123
_space_group_name_Hall '-P 4 2'
loop_
_atom_site_label
_atom_site_fract_x
_atom_site_fract_y
_atom_site_fract_z
Ag1 0.000 0.000 0.000
Ge1 0.000 0.000 0.500
B1 0.500 0.500 0.000
O1 0.000 0.500 0.500
```


VASP calculation (GGA-PBE) on crystalline TmTiC at its relaxed geometry.

Calculated values
formation energy from the elements = 0.115 eV/atom
relative energy among the computed polymorphs = 456 meV per atom
total magnetic moment = 0.0000 μB per atom

CIF file:
```
data_TmTiC
_cell_length_a 3.459
_cell_length_b 5.211
_cell_length_c 10.989
_cell_angle_alpha 90.00
_cell_angle_beta 90.00
_cell_angle_gamma 90.00
_space_group_name_H-M_alt 'F m m 2'
_space_group_IT_number 42
_space_group_name_Hall 'F 2 -2'
loop_
_atom_site_label
_atom_site_fract_x
_atom_site_fract_y
_atom_site_fract_z
Tm1 0.000 0.000 0.000
Ti1 0.000 0.000 0.264
C1 0.000 0.000 0.659
```


VASP calculation (GGA-PBE) on crystalline Ho2TmMn at its relaxed geometry.

Calculated values
formation energy from the elements = 0.122 eV/atom
total magnetic moment = 0.9172 μB per atom

CIF file:
```
data_Ho2TmMn
_cell_length_a 3.508
_cell_length_b 3.508
_cell_length_c 8.534
_cell_angle_alpha 90.00
_cell_angle_beta 90.00
_cell_angle_gamma 90.00
_space_group_name_H-M_alt 'P 4/m m m'
_space_group_IT_number 123
_space_group_name_Hall '-P 4 2'
loop_
_atom_site_label
_atom_site_fract_x
_atom_site_fract_y
_atom_site_fract_z
Ho1 0.000 0.000 0.204
Tm1 0.500 0.500 0.500
Mn1 0.500 0.500 0.000
```


VASP calculation (GGA-PBE) on crystalline Bi2Pb2Au at its relaxed geometry.

Calculated values
formation energy from the elements = -0.016 eV/atom
relative energy among the computed polymorphs = 0 meV per atom
total magnetic moment = 0.0000 μB per atom

CIF file:
```
data_Bi2Pb2Au
_cell_length_a 4.835
_cell_length_b 4.835
_cell_length_c 26.111
_cell_angle_alpha 90.00
_cell_angle_beta 90.00
_cell_angle_gamma 90.00
_space_group_name_H-M_alt 'I 41/a m d'
_space_group_IT_number 141
loop_
_space_group_symop_operation_xyz
'x,y,z'
'-x,-y,-z'
'-y+1/4,x+3/4,z+1/4'
'y+1/4,-x+3/4,-z+1/4'
'-x+1/2,-y,z+1/2'
'x+1/2,y,-z+1/2'
'y+1/4,-x+1/4,z+3/4'
'-y+1/4,x+1/4,-z+3/4'
'x,-y,-z'
'-x,y,z'
'-y+1/4,-x+1/4,-z+3/4'
'y+1/4,x+1/4,z+3/4'
'-x+1/2,y,-z+1/2'
'x+1/2,-y,z+1/2'
'y+1/4,x+3/4,-z+1/4'
'-y+1/4,-x+3/4,z+1/4'
'x+1/2,y+1/2,z+1/2'
'-x+1/2,-y+1/2,-z+1/2'
'-y+3/4,x+1/4,z+3/4'
'y+3/4,-x+1/4,-z+3/4'
'-x,-y+1/2,z'
'x,y+1/2,-z'
'y+3/4,-x+3/4,z+1/4'
'-y+3/4,x+3/4,-z+1/4'
'x+1/2,-y+1/2,-z+1/2'
'-x+1/2,y+1/2,z+1/2'
'-y+3/4,-x+3/4,-z+1/4'
'y+3/4,x+3/4,z+1/4'
'-x,y+1/2,-z'
'x,-y+1/2,z'
'y+3/4,x+1/4,-z+3/4'
'-y+3/4,-x+1/4,z+3/4'
loop_
_atom_site_label
_atom_site_fract_x
_atom_site_fract_y
_atom_site_fract_z
Bi1 0.000 0.250 0.057
Pb1 0.000 0.250 0.198
Au1 0.000 0.250 0.875
```


VASP calculation (GGA-PBE) on crystalline BHS2 at its relaxed geometry.

Calculated values
relative energy among the computed polymorphs = 94 meV per atom
total magnetic moment = 0.0000 μB per atom

CIF file:
```
data_BHS2
_cell_length_a 5.583
_cell_length_b 3.267
_cell_length_c 6.990
_cell_angle_alpha 90.00
_cell_angle_beta 110.33
_cell_angle_gamma 90.00
_space_group_name_H-M_alt 'C 1 m 1'
_space_group_IT_number 8
loop_
_space_group_symop_operation_xyz
'x,y,z'
'x,-y,z'
'x+1/2,y+1/2,z'
'x+1/2,-y+1/2,z'
loop_
_atom_site_label
_atom_site_fract_x
_atom_site_fract_y
_atom_site_fract_z
B1 0.000 0.000 0.000
H1 0.138 0.500 0.691
S1 0.379 0.000 0.125
S2 0.394 0.500 0.721
```